No. 1
First-principles (PBE-GGA) data for an optimized crystal structure of LiIr3Au, as listed in the Alexandria database.

* ΔH_f (0 K): 494.6 kJ/mol of formula units
* DFT total energy: -0.3917 Ry/atom
* D(E_F): 9.91 states/eV per cell

Lattice parameters (Å, degrees): 4.1803 4.1803 4.1803 90.00 90.00 90.00
Positions (direct):
1 Li 0.0000 0.0000 0.0000
2 Ir 0.0000 0.0000 0.5000
3 Ir 0.0000 0.5000 0.0000
4 Ir 0.5000 0.0000 0.0000
5 Au 0.5000 0.5000 0.5000

---

No. 2
First-principles (PBE-GGA) data for an optimized crystal structure of AgAsSe2, as listed in the Alexandria database.

* energy relative to the elements, uncorrected: 0.2691 eV per atom
* DFT total energy: -0.2461 Ry/atom
* D(E_F): 2.51 states/eV per cell

Lattice parameters (Å, degrees): 2.7576 2.7576 12.0797 90.00 90.00 90.00
Positions (direct):
1 Ag 0.0000 0.0000 0.0000
2 As 0.5000 0.5000 0.1865
3 Se 0.0000 0.0000 0.4738
4 Se 0.5000 0.5000 0.7951

---

| no. | magnetic moment (μB/f.u.) |
| --- | --- |
| 1 | 0.4 |
| 2 | 0.0 |